(1)
Computed, not measured: YCdHPt2 after structural relaxation at the PBE-GGA level of DFT.

Properties
density = 12.331 Mg/m³
DOS(E_F) = 2.8 states/eV/f.u.
symmetry = P4/mmm (123)
crystal system = tetragonal
electronic total energy = -4.99 eV per atom

POSCAR file:
```
YCdHPt2
1.0
4.246 0.000 0.000
0.000 4.246 0.000
0.000 0.000 4.426
Y H Pt Cd
1 1 2 1
Cartesian
0.000 0.000 2.213
0.000 0.000 0.000
0.000 2.123 0.000
2.123 0.000 0.000
2.123 2.123 2.213
```



(2)
Computed, not measured: PmDyF6 after structural relaxation at the PBE-GGA level of DFT.

Properties
density = 4.311 Mg/m³
DOS(E_F) = 0.0 states/eV/f.u.
formation energy (no corrections) = -4081 meV per atom
symmetry = P-1 (2)
crystal system = triclinic
electronic total energy = -6.65 eV per atom

POSCAR file:
```
PmDyF6
1.0
-0.498 -5.527 -2.055
1.661 -1.272 -5.543
5.334 -3.363 -0.802
Pm Dy F
1 1 6
Cartesian
3.248 -5.081 -4.200
0.000 0.000 0.000
4.500 -3.839 -2.770
3.916 -6.911 -3.035
1.381 -4.828 -2.935
2.580 -3.250 -5.366
1.997 -6.323 -5.631
5.116 -5.334 -5.466
```



(3)
Computed, not measured: Cr2NiAu after structural relaxation at the PBE-GGA level of DFT.

Properties
density = 10.948 Mg/m³
DOS(E_F) = 2.8 states/eV/f.u.
DFT formation energy = 0.56 eV/f.u.
excess energy over the best structure of this formula in the dataset = 0.00 eV per formula unit
symmetry = Pmm2 (25)
crystal system = orthorhombic
electronic total energy = -6.94 eV per atom

POSCAR file:
```
Cr2NiAu
1.0
3.046 0.000 0.000
0.000 3.093 0.064
0.000 2.976 5.852
Au Cr Ni
1 2 1
Cartesian
1.523 4.553 4.380
0.000 3.089 0.256
1.523 1.516 1.527
0.000 3.037 2.775
```



(4)
Computed, not measured: CrNiB2 after structural relaxation at the PBE-GGA level of DFT.

Properties
density = 6.667 Mg/m³
DOS(E_F) = 3.3 states/eV/f.u.
DFT formation energy = 0.55 eV/f.u.
excess energy over the best structure of this formula in the dataset = 0.00 eV per formula unit
symmetry = Fm-3m (225)
crystal system = cubic
electronic total energy = -7.05 eV per atom

POSCAR file:
```
CrNiB2
1.0
0.000 2.545 2.545
2.545 0.000 2.545
2.545 2.545 0.000
Ni B Cr
1 2 1
Cartesian
2.545 2.545 2.545
1.272 1.272 1.272
3.817 3.817 3.817
0.000 0.000 0.000
```